1.
Compound: LiCd2As
Source: Alexandria
Functional: GGA-PBE
Structure: relaxed

Space-group type: No. 65
Energy of formation in eV per atom: -0.056
Calculated total energy in eV/cell: -8.62

a b c (Å): 3.0546 3.0546 8.6704
angles (deg): 90.00 90.00 89.86
With the nearest neighbours (Å) after each atom.
Sites, in units of the cell vectors:
As (0.5000, 0.5000, 0.7500)  4 As 3.05, 8 Cd 3.14-3.15
Cd (0.0000, 0.0000, 0.0139)  4 Li 2.97-2.98, 4 Cd 3.05, 4 As 3.14-3.15
Cd (0.0000, 0.0000, 0.4861)  4 Li 2.97-2.98, 4 Cd 3.05, 4 As 3.14-3.15
Li (0.5000, 0.5000, 0.2500)  8 Cd 2.97-2.98, 4 Li 3.05


2.
Compound: LiCdAs2
Source: Alexandria
Functional: GGA-PBE
Structure: relaxed

Space-group type: No. 65
Energy of formation in eV per atom: -0.091
Calculated total energy in eV/cell: -12.49

a b c (Å): 5.1908 5.1908 3.0381
angles (deg): 90.00 90.00 107.36
With the nearest neighbours (Å) after each atom.
Sites, in units of the cell vectors:
As (0.0000, 0.0000, 0.0000)  4 Li 3.01, 4 Cd 3.01, 4 As 3.04-3.07
As (0.5000, 0.5000, 0.0000)  4 Cd 3.01, 4 Li 3.01, 4 As 3.04-3.07
Cd (0.5000, 0.0000, 0.5000)  8 As 3.01, 2 Cd 3.04, 2 Li 3.07
Li (0.0000, 0.5000, 0.5000)  8 As 3.01, 2 Li 3.04, 2 Cd 3.07


3.
Compound: Li2CdAs
Source: Alexandria
Functional: GGA-PBE
Structure: relaxed

Space-group type: No. 25
Energy of formation in eV per atom: -0.397
Calculated total energy in eV/cell: -10.98

a b c (Å): 4.5851 3.0651 4.9212
angles (deg): 90.00 90.00 90.00
With the nearest neighbours (Å) after each atom.
Sites, in units of the cell vectors:
As (0.0000, 0.6253, 0.4321)  8 Li 2.82-2.97, 2 Cd 2.94, 2 As 3.07
Cd (0.5000, 0.6253, 0.8070)  8 Li 2.84-2.92, 2 As 2.94, 2 Cd 3.07
Li (0.0000, 0.1245, 0.9482)  4 As 2.83-2.97, 4 Cd 2.84-2.85, 4 Li 2.91-3.07
Li (0.5000, 0.1248, 0.3127)  4 As 2.82, 4 Cd 2.87-2.92, 4 Li 2.91-3.07


4.
Compound: Li2CdAs
Source: Alexandria
Functional: GGA-PBE
Structure: relaxed

Space-group type: No. 216
Energy of formation in eV per atom: -0.293
Calculated total energy in eV/cell: -10.56

a b c (Å): 4.7290 4.7290 4.7290
angles (deg): 60.00 60.00 60.00
With the nearest neighbours (Å) after each atom.
Sites, in units of the cell vectors:
As (0.5000, 0.5000, 0.5000)  4 Cd 2.90, 4 Li 2.90
Cd (0.7500, 0.7500, 0.7500)  4 As 2.90, 4 Li 2.90
Li (0.0000, 0.0000, 0.0000)  4 Li 2.90, 4 Cd 2.90
Li (0.2500, 0.2500, 0.2500)  4 Li 2.90, 4 As 2.90


5.
Compound: Li2CdAs
Source: Alexandria
Functional: GGA-PBE
Structure: relaxed

Space-group type: No. 122
Energy of formation in eV per atom: -0.192
Calculated total energy in eV/cell: -20.32

a b c (Å): 4.1948 4.1948 9.5013
angles (deg): 77.25 77.25 90.00
With the nearest neighbours (Å) after each atom.
Sites, in units of the cell vectors:
As (0.5000, 0.5000, 0.0000)  4 Li 2.62
As (0.2500, 0.7500, 0.5000)  4 Li 2.62
Li (0.5733, 0.1250, 0.2500)  2 As 2.62, 2 Li 2.68, 2 Cd 2.79
Li (0.1767, 0.6250, 0.2500)  2 As 2.62, 2 Li 2.68, 2 Cd 2.79
Li (0.3750, 0.4267, 0.7500)  2 As 2.62, 2 Li 2.68, 2 Cd 2.79
Li (0.8750, 0.8233, 0.7500)  2 As 2.62, 2 Li 2.68, 2 Cd 2.79
Cd (0.0000, 0.0000, 0.0000)  4 Li 2.79, 4 As 2.97
Cd (0.7500, 0.2500, 0.5000)  4 Li 2.79, 4 As 2.97


6.
Compound: LiCd2As
Source: Alexandria
Functional: GGA-PBE
Structure: relaxed

Space-group type: No. 47
Energy of formation in eV per atom: -0.167
Calculated total energy in eV/cell: -9.06

a b c (Å): 3.7611 3.8405 5.6132
angles (deg): 90.00 90.00 90.00
With the nearest neighbours (Å) after each atom.
Sites, in units of the cell vectors:
As (0.5000, 0.5000, 0.7500)  2 Li 2.81, 8 Cd 3.04
Cd (0.0000, 0.0000, 0.0019)  2 Cd 2.78-2.83, 4 Li 3.03, 4 As 3.04
Cd (0.0000, 0.0000, 0.4981)  2 Cd 2.78-2.83, 4 Li 3.03, 4 As 3.04
Li (0.5000, 0.5000, 0.2500)  2 As 2.81, 8 Cd 3.03


7.
Compound: LiCdAs2
Source: Alexandria
Functional: GGA-PBE
Structure: relaxed

Space-group type: No. 99
Energy of formation in eV per atom: 0.024
Calculated total energy in eV/cell: -12.03

a b c (Å): 2.8384 2.8384 9.8003
angles (deg): 90.00 90.00 89.99
With the nearest neighbours (Å) after each atom.
Sites, in units of the cell vectors:
As (0.0000, 0.0000, 0.9514)  4 Li 2.77, 4 As 2.84
As (0.5000, 0.5000, 0.2701)  4 As 2.84
Cd (0.0000, 0.0000, 0.5221)  4 Cd 2.84, 4 Li 3.05
Li (0.5000, 0.5000, 0.7564)  4 As 2.77, 4 Li 2.84, 4 Cd 3.05


8.
Compound: LiCd3As
Source: Alexandria
Functional: GGA-PBE
Structure: relaxed

Space-group type: No. 221
Polymorph energy (0 for the lowest one) in eV/atom: 0.000
Energy of formation in eV per atom: 0.273
Calculated total energy in eV/cell: -7.94

a b c (Å): 5.3641 5.3641 5.3641
angles (deg): 90.00 90.00 90.00
With the nearest neighbours (Å) after each atom.
Sites, in units of the cell vectors:
As (0.0000, 0.0000, 0.0000)  6 Cd 2.68
Li (0.5000, 0.5000, 0.5000)  12 Cd 3.79
Cd (0.0000, 0.5000, 0.0000)  2 As 2.68
Cd (0.0000, 0.0000, 0.5000)  2 As 2.68
Cd (0.5000, 0.0000, 0.0000)  2 As 2.68


9.
Compound: LiCd2As
Source: Alexandria
Functional: GGA-PBE
Structure: relaxed

Space-group type: No. 10
Energy of formation in eV per atom: -0.156
Calculated total energy in eV/cell: -9.02

a b c (Å): 5.2677 3.1577 4.9370
angles (deg): 93.25 90.00 90.00
With the nearest neighbours (Å) after each atom.
Sites, in units of the cell vectors:
As (0.5000, 0.7500, 0.7500)  4 Li 2.85-3.00, 4 Cd 3.00, 2 As 3.16
Cd (0.0000, 0.9909, 0.0033)  6 Cd 2.85-3.16, 2 As 3.00, 2 Li 3.00
Cd (0.0000, 0.5091, 0.4967)  6 Cd 2.85-3.16, 2 As 3.00, 2 Li 3.00
Li (0.5000, 0.2500, 0.2500)  4 As 2.85-3.00, 4 Cd 3.00, 2 Li 3.16


10.
Compound: Li4CdAs
Source: Alexandria
Functional: GGA-PBE
Structure: relaxed

Space-group type: No. 216
Energy of formation in eV per atom: -0.108
Calculated total energy in eV/cell: -13.87

a b c (Å): 5.2955 5.2955 5.2955
angles (deg): 60.00 60.00 60.00
With the nearest neighbours (Å) after each atom.
Sites, in units of the cell vectors:
Li (0.8732, 0.3756, 0.3756)  6 Li 2.64-2.66
Li (0.3756, 0.3756, 0.8732)  6 Li 2.64-2.66
Li (0.3756, 0.8732, 0.3756)  6 Li 2.64-2.66
Li (0.3756, 0.3756, 0.3756)  6 Li 2.64-2.66
Cd (0.0000, 0.0000, 0.0000)  12 Li 3.11, 4 As 3.24
As (0.7500, 0.7500, 0.7500)  12 Li 3.10, 4 Cd 3.24


11.
Compound: LiCdAs2
Source: Alexandria
Functional: GGA-PBE
Structure: relaxed

Space-group type: No. 123
Energy of formation in eV per atom: -0.119
Calculated total energy in eV/cell: -12.60

a b c (Å): 4.4011 4.4011 3.9873
angles (deg): 90.00 90.00 90.00
With the nearest neighbours (Å) after each atom.
Sites, in units of the cell vectors:
As (0.0000, 0.0000, 0.0000)  4 Cd 2.97, 4 Li 2.97, 4 As 3.11
As (0.5000, 0.5000, 0.0000)  4 Cd 2.97, 4 Li 2.97, 4 As 3.11
Cd (0.5000, 0.0000, 0.5000)  8 As 2.97, 4 Li 3.11
Li (0.0000, 0.5000, 0.5000)  8 As 2.97, 4 Cd 3.11


12.
Compound: LiCdAs2
Source: Alexandria
Functional: GGA-PBE
Structure: relaxed

Space-group type: No. 71
Energy of formation in eV per atom: -0.091
Calculated total energy in eV/cell: -12.49

a b c (Å): 5.1451 5.1451 5.1451
angles (deg): 129.78 130.20 73.42
With the nearest neighbours (Å) after each atom.
Sites, in units of the cell vectors:
As (0.0000, 0.0000, 0.0000)  4 Li 2.99-3.00, 4 Cd 2.99-3.00, 4 As 3.08
As (0.5000, 0.5000, 0.0000)  4 Li 2.99-3.00, 4 Cd 2.99-3.00, 4 As 3.08
Cd (0.7500, 0.2500, 0.5000)  8 As 2.99-3.00, 4 Li 3.08
Li (0.2500, 0.7500, 0.5000)  8 As 2.99-3.00, 4 Cd 3.08


13.
Compound: LiCd2As
Source: Alexandria
Functional: GGA-PBE
Structure: relaxed

Space-group type: No. 12
Energy of formation in eV per atom: -0.157
Calculated total energy in eV/cell: -9.02

a b c (Å): 5.5231 5.5231 5.0203
angles (deg): 84.65 84.65 31.83
With the nearest neighbours (Å) after each atom.
Sites, in units of the cell vectors:
As (0.2500, 0.2500, 0.2500)  4 Li 2.93, 6 Cd 3.01-3.25, 2 As 3.03
Cd (0.0043, 0.0043, 0.9968)  6 Cd 2.91-3.03, 3 As 3.01-3.25, 3 Li 3.08-3.16
Cd (0.4957, 0.4957, 0.5032)  6 Cd 2.91-3.03, 3 As 3.01-3.25, 3 Li 3.08-3.16
Li (0.7500, 0.7500, 0.7500)  4 As 2.93, 2 Li 3.03, 6 Cd 3.08-3.16